A plane-wave DFT calculation with PBE was carried out for an optimized crystal structure of YGaGePt2.

Summary:
spin magnetization = 0.00 μB/f.u.
energy above the lowest structure with this stoichiometry = 38 meV/atom
E = -6.137 eV per atom
crystal system = tetragonal

Cell: 4.1621 4.1621 10.8484 Å, 90.00 90.00 90.00°
Last column: nearest neighbours and their distance in Å.
Fractional coordinates of all 10 atoms:
Y  0.2500  0.2500  0.2475  8 Pt 3.17-3.44, 4 Ga 3.21, 4 Ge 3.40
Y  0.7500  0.7500  0.7525  8 Pt 3.17-3.44, 4 Ga 3.21, 4 Ge 3.40
Ga  0.2500  0.2500  0.6349  5 Pt 2.46-2.54
Ga  0.7500  0.7500  0.3651  5 Pt 2.46-2.54
Ge  0.2500  0.7500  0.0000  4 Pt 2.57
Ge  0.7500  0.2500  0.0000  4 Pt 2.57
Pt  0.2500  0.2500  0.8613  1 Ga 2.46, 4 Ge 2.57
Pt  0.2500  0.7500  0.5000  4 Ga 2.54
Pt  0.7500  0.2500  0.5000  4 Ga 2.54
Pt  0.7500  0.7500  0.1387  1 Ga 2.46, 4 Ge 2.57